Entry 1:
Here is KSmSO4F after structural relaxation from OQMD. Energies are from PBE-GGA.

Properties
Magnetization in μB per cell: 2.00
Final energy in eV/atom: -6.10

CIF file:
```
data_KSmSO4F
_chemical_formula_sum 'K2 Sm2 S2 O8 F2'
_space_group_name_H-M_alt 'P -1'
_space_group_IT_number 2
_cell_length_a 6.156
_cell_length_b 6.863
_cell_length_c 6.905
_cell_angle_alpha 106.17
_cell_angle_beta 109.69
_cell_angle_gamma 104.90
loop_
_space_group_symop_operation_xyz
'x,y,z'
'-x,-y,-z'
loop_
_atom_site_label
_atom_site_type_symbol
_atom_site_fract_x
_atom_site_fract_y
_atom_site_fract_z
_atom_site_occupancy
K1 K 0.186 0.131 0.341 1
Sm1 Sm 0.373 0.687 0.946 1
S1 S 0.176 0.650 0.351 1
O1 O 0.045 0.290 0.667 1
O2 O 0.075 0.418 0.186 1
O3 O 0.319 0.668 0.580 1
O4 O 0.346 0.799 0.297 1
F1 F 0.281 0.028 0.962 1
```



Entry 2:
Here is TlBiAu after structural relaxation from OQMD. Energies are from PBE-GGA.

Properties
Final energy in eV/atom: -3.03
Energy above the most stable polymorph in this dataset in eV/atom: 0.0000

CIF file:
```
data_TlBiAu
_chemical_formula_sum 'Tl4 Bi4 Au4'
_space_group_name_H-M_alt 'F -4 3 m'
_space_group_IT_number 216
_space_group_name_Hall 'F -4 2 3'
_cell_length_a 7.148
_cell_length_b 7.148
_cell_length_c 7.148
_cell_angle_alpha 90.00
_cell_angle_beta 90.00
_cell_angle_gamma 90.00
loop_
_atom_site_label
_atom_site_type_symbol
_atom_site_fract_x
_atom_site_fract_y
_atom_site_fract_z
_atom_site_occupancy
Tl1 Tl 0.000 0.000 0.000 1
Bi1 Bi 0.250 0.250 0.750 1
Au1 Au 0.000 0.000 0.500 1
```



Entry 3:
Here is PrSmTlCu2 after structural relaxation from OQMD. Energies are from PBE-GGA.

Properties
Magnetization in μB per cell: 0.11
Final energy in eV/atom: -4.14

CIF file:
```
data_PrSmTlCu2
_chemical_formula_sum 'Pr2 Sm2 Tl2 Cu4'
_space_group_name_H-M_alt 'A m m 2'
_space_group_IT_number 38
_cell_length_a 3.820
_cell_length_b 4.171
_cell_length_c 14.501
_cell_angle_alpha 90.00
_cell_angle_beta 90.00
_cell_angle_gamma 90.00
loop_
_space_group_symop_operation_xyz
'x,y,z'
'-x,-y,z'
'-x,y,z'
'x,-y,z'
'x,y+1/2,z+1/2'
'-x,-y+1/2,z+1/2'
'-x,y+1/2,z+1/2'
'x,-y+1/2,z+1/2'
loop_
_atom_site_label
_atom_site_type_symbol
_atom_site_fract_x
_atom_site_fract_y
_atom_site_fract_z
_atom_site_occupancy
Pr1 Pr 0.000 0.000 0.000 1
Sm1 Sm 0.000 0.000 0.734 1
Tl1 Tl 0.500 0.000 0.365 1
Cu1 Cu 0.500 0.000 0.166 1
Cu2 Cu 0.500 0.000 0.573 1
```



Entry 4:
Here is Ga2PdI2Br2Cl4 after structural relaxation from OQMD. Energies are from PBE-GGA.

Properties
Final energy in eV/atom: -2.99
Energy above the most stable polymorph in this dataset in eV/atom: 0.0000

CIF file:
```
data_Ga2PdI2Br2Cl4
_chemical_formula_sum 'Ga4 Pd2 I4 Br4 Cl8'
_space_group_name_H-M_alt 'C 1 2/m 1'
_space_group_IT_number 12
_cell_length_a 12.724
_cell_length_b 8.537
_cell_length_c 7.491
_cell_angle_alpha 90.00
_cell_angle_beta 98.15
_cell_angle_gamma 90.00
loop_
_space_group_symop_operation_xyz
'x,y,z'
'-x,-y,-z'
'-x,y,-z'
'x,-y,z'
'x+1/2,y+1/2,z'
'-x+1/2,-y+1/2,-z'
'-x+1/2,y+1/2,-z'
'x+1/2,-y+1/2,z'
loop_
_atom_site_label
_atom_site_type_symbol
_atom_site_fract_x
_atom_site_fract_y
_atom_site_fract_z
_atom_site_occupancy
Ga1 Ga 0.212 0.000 0.323 1
Pd1 Pd 0.000 0.000 0.000 1
I1 I 0.171 0.000 0.640 1
Br1 Br 0.115 0.500 0.723 1
Cl1 Cl 0.114 0.189 0.147 1
```



Entry 5:
Here is RbHo after structural relaxation from OQMD. Energies are from PBE-GGA.

Properties
Magnetization in μB per cell: 0.15
Final energy in eV/atom: -1.90

CIF file:
```
data_RbHo
_chemical_formula_sum 'Rb1 Ho1'
_space_group_name_H-M_alt 'P 4/m m m'
_space_group_IT_number 123
_space_group_name_Hall '-P 4 2'
_cell_length_a 3.590
_cell_length_b 3.590
_cell_length_c 7.102
_cell_angle_alpha 90.00
_cell_angle_beta 90.00
_cell_angle_gamma 90.00
loop_
_atom_site_label
_atom_site_type_symbol
_atom_site_fract_x
_atom_site_fract_y
_atom_site_fract_z
_atom_site_occupancy
Rb1 Rb 0.000 0.000 0.000 1
Ho1 Ho 0.500 0.500 0.500 1
```



Entry 6:
Here is NaUTc after structural relaxation from OQMD. Energies are from PBE-GGA.

Properties
Magnetization in μB per cell: 5.68
Final energy in eV/atom: -5.96
Energy above the most stable polymorph in this dataset in eV/atom: 0.1842

CIF file:
```
data_NaUTc
_chemical_formula_sum 'Na4 U4 Tc4'
_space_group_name_H-M_alt 'F -4 3 m'
_space_group_IT_number 216
_space_group_name_Hall 'F -4 2 3'
_cell_length_a 6.367
_cell_length_b 6.367
_cell_length_c 6.367
_cell_angle_alpha 90.00
_cell_angle_beta 90.00
_cell_angle_gamma 90.00
loop_
_atom_site_label
_atom_site_type_symbol
_atom_site_fract_x
_atom_site_fract_y
_atom_site_fract_z
_atom_site_occupancy
Na1 Na 0.000 0.000 0.000 1
U1 U 0.250 0.250 0.250 1
Tc1 Tc 0.250 0.250 0.750 1
```



Question: Among the records above, which one has the lowest final energy?
Answer: KSmSO4F